# 1
! BaHfTa2S8 (PBE, optimized geometry); values from VASP
! Space-group type: R-3, No. 148
! DFT total energy in eV/atom: -6.88
! Spin magnetization in μB per atom: 0.000
&SYSTEM
  ibrav = 0, nat = 12, ntyp = 4
/
ATOMIC_SPECIES
Ba 137.33 Ba.upf
Hf 178.49 Hf.upf
Ta 180.95 Ta.upf
S 32.06 S.upf
CELL_PARAMETERS angstrom
3.1693 1.8298 8.9185
-3.1693 1.8298 8.9185
0.0000 -3.6596 8.9185
ATOMIC_POSITIONS angstrom
Ba 0.0000 0.0000 0.0000
Hf 0.0000 0.0000 13.3778
Ta 0.0000 0.0000 6.5487
Ta 0.0000 0.0000 20.2069
S -0.9332 -1.8302 11.8581
S -2.0516 -0.1069 14.8975
S 0.0000 0.0000 8.7743
S -1.1183 1.7233 11.8581
S 1.1183 -1.7233 14.8975
S 0.0000 0.0000 17.9812
S 2.0516 0.1069 11.8580
S 0.9332 1.8301 14.8975

# 2
! Ba2HfTaS6 (PBE, optimized geometry); values from VASP
! Space-group type: R-3m, No. 166
! DFT total energy in eV/atom: -6.67
! Spin magnetization in μB per atom: 0.000
&SYSTEM
  ibrav = 0, nat = 20, ntyp = 4
/
ATOMIC_SPECIES
Ba 137.33 Ba.upf
Hf 178.49 Hf.upf
Ta 180.95 Ta.upf
S 32.06 S.upf
CELL_PARAMETERS angstrom
3.4930 2.0167 11.6405
-3.4930 2.0167 11.6405
0.0000 -4.0333 11.6405
ATOMIC_POSITIONS angstrom
Ba 0.0000 0.0000 4.4121
Ba 0.0000 0.0000 10.2352
Ba 0.0000 0.0000 24.6863
Ba 0.0000 0.0000 30.5094
Hf 0.0000 0.0000 14.5166
Hf 0.0000 0.0000 20.4049
Ta 0.0000 0.0000 0.0000
Ta 0.0000 0.0000 17.4607
S -1.7630 -1.0179 16.0226
S 0.0000 -2.0434 13.0440
S -1.7696 1.0217 13.0440
S -1.7696 -1.0217 21.8775
S 0.0000 -2.0358 18.8989
S -1.7630 1.0179 18.8989
S 1.7630 -1.0179 16.0226
S 0.0000 2.0358 16.0226
S 1.7696 1.0217 13.0440
S 1.7696 -1.0217 21.8775
S 0.0000 2.0434 21.8775
S 1.7630 1.0179 18.8989

# 3
! BaHfTaS6 (PBE, optimized geometry); values from VASP
! Space-group type: P312, No. 149
! DFT total energy in eV/atom: -6.64
! Spin magnetization in μB per atom: 0.000
&SYSTEM
  ibrav = 0, nat = 9, ntyp = 4
/
ATOMIC_SPECIES
Ba 137.33 Ba.upf
Hf 178.49 Hf.upf
Ta 180.95 Ta.upf
S 32.06 S.upf
CELL_PARAMETERS angstrom
6.4079 0.0000 0.0000
-3.2039 5.5494 0.0000
0.0000 0.0000 7.0484
ATOMIC_POSITIONS angstrom
Ba 0.0000 0.0000 0.0000
Hf 0.0000 3.6996 3.5242
Ta 3.2039 1.8498 3.5242
S 2.4446 0.0501 5.0035
S 1.2657 2.0920 2.0448
S 3.9633 0.0501 2.0448
S 2.0250 3.4073 5.0035
S 5.1422 2.0920 5.0035
S 4.3829 3.4073 2.0448

# 4
! Ba2HfTcS (PBE, optimized geometry); values from VASP
! Space-group type: P4/mmm, No. 123
! DFT total energy in eV/atom: -5.04
! Spin magnetization in μB per atom: 0.015
&SYSTEM
  ibrav = 0, nat = 5, ntyp = 4
/
ATOMIC_SPECIES
Ba 137.33 Ba.upf
Hf 178.49 Hf.upf
Tc 98.00 Tc.upf
S 32.06 S.upf
CELL_PARAMETERS angstrom
6.4180 0.0000 0.0000
0.0000 6.4180 0.0000
0.0000 0.0000 4.5739
ATOMIC_POSITIONS angstrom
Ba 0.0000 3.2090 0.0000
Ba 3.2090 0.0000 0.0000
Hf 0.0000 0.0000 0.0000
Tc 0.0000 0.0000 2.2869
S 3.2090 3.2090 2.2869

# 5
! BaHfTeS6 (PBE, optimized geometry); values from VASP
! Space-group type: P312, No. 149
! DFT total energy in eV/atom: -5.25
! Spin magnetization in μB per atom: 0.000
&SYSTEM
  ibrav = 0, nat = 9, ntyp = 4
/
ATOMIC_SPECIES
Ba 137.33 Ba.upf
Hf 178.49 Hf.upf
Te 127.60 Te.upf
S 32.06 S.upf
CELL_PARAMETERS angstrom
6.5975 0.0000 0.0000
-3.2987 5.7136 0.0000
0.0000 0.0000 6.8826
ATOMIC_POSITIONS angstrom
Ba 0.0000 0.0000 0.0000
Hf 0.0000 3.8091 3.4413
Te 3.2987 1.9045 3.4413
S 2.5519 0.0034 4.9248
S 1.2789 2.2083 1.9578
S 4.0456 0.0034 1.9578
S 2.0258 3.5019 4.9248
S 5.3186 2.2083 4.9248
S 4.5717 3.5019 1.9578

# 6
! Ba2HfThS6 (PBE, optimized geometry); values from VASP
! Space-group type: P2_1/c, No. 14
! DFT total energy in eV/atom: -6.55
! Spin magnetization in μB per atom: 0.000
&SYSTEM
  ibrav = 0, nat = 20, ntyp = 4
/
ATOMIC_SPECIES
Ba 137.33 Ba.upf
Hf 178.49 Hf.upf
Th 232.04 Th.upf
S 32.06 S.upf
CELL_PARAMETERS angstrom
7.2044 0.0000 0.0000
0.0000 7.4224 0.0000
-7.1235 0.0000 10.3205
ATOMIC_POSITIONS angstrom
Ba -0.0949 0.4326 2.5704
Ba -3.6567 3.2786 7.7306
Ba 3.7376 4.1438 2.5899
Ba 0.1758 6.9898 7.7501
Hf -3.5618 0.0000 5.1602
Hf 0.0000 3.7112 0.0000
Th 3.6022 0.0000 0.0000
Th 0.0405 3.7112 5.1602
S -5.7193 1.6075 9.8844
S -2.1576 2.1037 4.7241
S -5.0830 5.1777 9.8938
S -1.5212 5.9559 4.7335
S -2.9742 0.1186 7.6318
S 0.5875 3.5926 2.4716
S -0.5066 3.8298 7.8489
S 3.0551 7.3038 2.6887
S 1.6021 1.4665 5.5870
S 5.1639 2.2447 0.4267
S 2.2385 5.3187 5.5964
S 5.8003 5.8149 0.4361

# 7
! Ba2HfTl3S6 (PBE, optimized geometry); values from VASP
! Space-group type: C2/m, No. 12
! DFT total energy in eV/atom: -5.00
! Spin magnetization in μB per atom: 0.000
&SYSTEM
  ibrav = 0, nat = 12, ntyp = 4
/
ATOMIC_SPECIES
Ba 137.33 Ba.upf
Hf 178.49 Hf.upf
Tl 204.38 Tl.upf
S 32.06 S.upf
CELL_PARAMETERS angstrom
3.7800 -6.6444 0.0000
3.7800 6.6444 0.0000
-2.6694 0.0000 6.9758
ATOMIC_POSITIONS angstrom
Ba 3.7800 4.4198 0.0000
Ba 3.7800 -4.4198 0.0000
Hf 3.7800 0.0000 0.0000
Tl -1.3347 0.0000 3.4879
Tl 2.4453 2.0819 3.4879
Tl 2.4453 -2.0819 3.4879
S 0.0645 1.8141 5.4953
S 1.6347 0.0000 1.5141
S 0.0645 -1.8141 5.4953
S 4.8261 1.8141 1.4805
S 3.2559 0.0000 5.4617
S 4.8261 -1.8141 1.4805

# 8
! Ba2HfUS6 (PBE, optimized geometry); values from VASP
! Space-group type: Pmmn, No. 59
! DFT total energy in eV/atom: -6.73
! Spin magnetization in μB per atom: 0.201
&SYSTEM
  ibrav = 0, nat = 20, ntyp = 4
/
ATOMIC_SPECIES
Ba 137.33 Ba.upf
Hf 178.49 Hf.upf
U 238.03 U.upf
S 32.06 S.upf
CELL_PARAMETERS angstrom
7.2422 0.0000 0.0000
0.0000 10.2424 0.0000
0.0000 0.0000 7.2413
ATOMIC_POSITIONS angstrom
Ba 1.8105 0.0004 1.8053
Ba 1.8105 5.1208 1.8053
Ba 5.4316 10.2420 5.4360
Ba 5.4316 5.1216 5.4360
Hf 1.8105 2.5606 5.4350
Hf 5.4316 7.6818 1.8062
U 1.8105 7.6818 5.4261
U 5.4316 2.5606 1.8152
S 0.0341 2.5606 3.6616
S 0.0371 2.5606 7.2119
S 1.8105 0.0504 5.4336
S 1.8105 5.0708 5.4336
S 3.5870 2.5606 3.6616
S 3.5840 2.5606 7.2119
S 3.6582 7.6818 0.0294
S 3.6552 7.6818 3.5797
S 5.4316 5.1717 1.8076
S 5.4316 10.1920 1.8076
S 7.2051 7.6818 0.0294
S 7.2081 7.6818 3.5797